No. 1
A plane-wave DFT calculation with PBE-GGA was carried out for crystalline DyURu3 at its relaxed geometry.

## Properties
Symmetry: No. 63
DOS at the Fermi energy, states/eV/cell: 11.25
VASP energy, eV/cell: -89.6

Cell and atoms, written as CIF:
```
data_DyURu3
_chemical_formula_sum 'Dy2 U2 Ru6'
_cell_length_a 5.4209
_cell_length_b 6.0036
_cell_length_c 6.6219
_cell_angle_alpha 116.96
_cell_angle_beta 90.00
_cell_angle_gamma 90.00
_symmetry_space_group_name_H-M 'P 1'
_symmetry_Int_Tables_number 1
_symmetry_space_group_name_Hall 'P 1'
loop_
_atom_site_label
_atom_site_fract_x
_atom_site_fract_y
_atom_site_fract_z
_atom_site_occupancy
Dy1 0.7500 0.5873 0.1745 1
Ru1 0.2500 0.9259 0.3198 1
Dy2 0.2500 0.4127 0.8255 1
U1 0.2500 0.8045 0.6089 1
Ru2 0.5000 0.0000 0.0000 1
Ru3 0.7500 0.0741 0.6802 1
Ru4 0.0000 0.0000 0.0000 1
Ru5 0.7500 0.6061 0.6802 1
Ru6 0.2500 0.3939 0.3198 1
U2 0.7500 0.1955 0.3911 1
```

=====

No. 2
A plane-wave DFT calculation with PBE-GGA was carried out for crystalline DyY2U2Ru5 at its relaxed geometry.

## Properties
Symmetry: No. 127
DOS at the Fermi energy, states/eV/cell: 13.18
VASP energy, eV/cell: -178.6

Cell and atoms, written as CIF:
```
data_DyY2U2Ru5
_chemical_formula_sum 'Dy2 Y4 U4 Ru10'
_cell_length_a 3.6085
_cell_length_b 10.5994
_cell_length_c 10.5994
_cell_angle_alpha 90.00
_cell_angle_beta 90.00
_cell_angle_gamma 90.00
_symmetry_space_group_name_H-M 'P 1'
_symmetry_Int_Tables_number 1
_symmetry_space_group_name_Hall 'P 1'
loop_
_atom_site_label
_atom_site_fract_x
_atom_site_fract_y
_atom_site_fract_z
_atom_site_occupancy
Y1 0.0000 0.6747 0.1747 1
U1 0.0000 0.3657 0.1343 1
Ru1 0.5000 0.5542 0.7134 1
Ru2 0.5000 0.9458 0.2134 1
Dy1 0.0000 0.0000 0.0000 1
U2 0.0000 0.6343 0.8657 1
U3 0.0000 0.1343 0.6343 1
Ru3 0.5000 0.2866 0.5542 1
Dy2 0.0000 0.5000 0.5000 1
Y2 0.0000 0.3253 0.8253 1
Ru4 0.5000 0.4458 0.2866 1
U4 0.0000 0.8657 0.3657 1
Ru5 0.5000 0.7866 0.9458 1
Ru6 0.5000 0.7134 0.4458 1
Y3 0.0000 0.8253 0.6747 1
Ru7 0.5000 0.5000 0.0000 1
Ru8 0.5000 0.0542 0.7866 1
Ru9 0.5000 0.2134 0.0542 1
Y4 0.0000 0.1747 0.3253 1
Ru10 0.5000 0.0000 0.5000 1
```

=====

No. 3
A plane-wave DFT calculation with PBE-GGA was carried out for crystalline Dy2U2ZnRu5 at its relaxed geometry.

## Properties
Symmetry: No. 127
DOS at the Fermi energy, states/eV/cell: 16.88
VASP energy, eV/cell: -161.9

Cell and atoms, written as CIF:
```
data_Dy2U2ZnRu5
_chemical_formula_sum 'Dy4 U4 Zn2 Ru10'
_cell_length_a 3.2651
_cell_length_b 10.7379
_cell_length_c 10.7379
_cell_angle_alpha 90.00
_cell_angle_beta 90.00
_cell_angle_gamma 90.00
_symmetry_space_group_name_H-M 'P 1'
_symmetry_Int_Tables_number 1
_symmetry_space_group_name_Hall 'P 1'
loop_
_atom_site_label
_atom_site_fract_x
_atom_site_fract_y
_atom_site_fract_z
_atom_site_occupancy
Zn1 0.0000 0.0000 0.0000 1
Zn2 0.0000 0.5000 0.5000 1
Ru1 0.5000 0.9406 0.1954 1
Ru2 0.5000 0.5594 0.6954 1
Dy1 0.0000 0.1576 0.3424 1
U1 0.0000 0.8437 0.3437 1
Ru3 0.5000 0.8046 0.9406 1
Dy2 0.0000 0.8424 0.6576 1
Ru4 0.5000 0.5000 0.0000 1
Ru5 0.5000 0.4406 0.3046 1
Ru6 0.5000 0.0000 0.5000 1
Ru7 0.5000 0.3046 0.5594 1
Dy3 0.0000 0.3424 0.8424 1
Ru8 0.5000 0.0594 0.8046 1
Dy4 0.0000 0.6576 0.1576 1
Ru9 0.5000 0.1954 0.0594 1
U2 0.0000 0.1563 0.6563 1
Ru10 0.5000 0.6954 0.4406 1
U3 0.0000 0.3437 0.1563 1
U4 0.0000 0.6563 0.8437 1
```

=====

No. 4
A plane-wave DFT calculation with PBE-GGA was carried out for crystalline DyVRu2 at its relaxed geometry.

## Properties
Symmetry: No. 123
DOS at the Fermi energy, states/eV/cell: 2.63
VASP energy, eV/cell: -33.3

Cell and atoms, written as CIF:
```
data_DyVRu2
_chemical_formula_sum 'Dy1 V1 Ru2'
_cell_length_a 3.1340
_cell_length_b 3.1340
_cell_length_c 6.7380
_cell_angle_alpha 90.00
_cell_angle_beta 90.00
_cell_angle_gamma 90.00
_symmetry_space_group_name_H-M 'P 1'
_symmetry_Int_Tables_number 1
_symmetry_space_group_name_Hall 'P 1'
loop_
_atom_site_label
_atom_site_fract_x
_atom_site_fract_y
_atom_site_fract_z
_atom_site_occupancy
Ru1 0.0000 0.0000 0.7912 1
Dy1 0.5000 0.5000 0.5000 1
V1 0.5000 0.5000 0.0000 1
Ru2 0.0000 0.0000 0.2088 1
```

=====

No. 5
A plane-wave DFT calculation with PBE-GGA was carried out for crystalline DyV2Ru3 at its relaxed geometry.

## Properties
Symmetry: No. 123
DOS at the Fermi energy, states/eV/cell: 5.43
VASP energy, eV/cell: -52.3

Cell and atoms, written as CIF:
```
data_DyV2Ru3
_chemical_formula_sum 'Dy1 V2 Ru3'
_cell_length_a 3.0369
_cell_length_b 3.0369
_cell_length_c 10.1945
_cell_angle_alpha 90.00
_cell_angle_beta 90.00
_cell_angle_gamma 90.00
_symmetry_space_group_name_H-M 'P 1'
_symmetry_Int_Tables_number 1
_symmetry_space_group_name_Hall 'P 1'
loop_
_atom_site_label
_atom_site_fract_x
_atom_site_fract_y
_atom_site_fract_z
_atom_site_occupancy
V1 0.5000 0.5000 0.1539 1
Ru1 0.0000 0.0000 0.0000 1
Ru2 0.0000 0.0000 0.2852 1
V2 0.5000 0.5000 0.8461 1
Dy1 0.5000 0.5000 0.5000 1
Ru3 0.0000 0.0000 0.7148 1
```

=====

No. 6
A plane-wave DFT calculation with PBE-GGA was carried out for crystalline DyVRu2 at its relaxed geometry.

## Properties
Symmetry: No. 123
DOS at the Fermi energy, states/eV/cell: 2.13
VASP energy, eV/cell: -32.7

Cell and atoms, written as CIF:
```
data_DyVRu2
_chemical_formula_sum 'Dy1 V1 Ru2'
_cell_length_a 3.1988
_cell_length_b 4.5394
_cell_length_c 4.5394
_cell_angle_alpha 90.00
_cell_angle_beta 90.00
_cell_angle_gamma 90.00
_symmetry_space_group_name_H-M 'P 1'
_symmetry_Int_Tables_number 1
_symmetry_space_group_name_Hall 'P 1'
loop_
_atom_site_label
_atom_site_fract_x
_atom_site_fract_y
_atom_site_fract_z
_atom_site_occupancy
V1 0.5000 0.0000 0.0000 1
Dy1 0.5000 0.5000 0.5000 1
Ru1 0.0000 0.5000 0.0000 1
Ru2 0.0000 0.0000 0.5000 1
```

=====

No. 7
A plane-wave DFT calculation with PBE-GGA was carried out for crystalline Dy2VRu at its relaxed geometry.

## Properties
Symmetry: No. 166
DOS at the Fermi energy, states/eV/cell: 4.61
VASP energy, eV/cell: -25.5

Cell and atoms, written as CIF:
```
data_Dy2VRu
_chemical_formula_sum 'Dy2 V1 Ru1'
_cell_length_a 3.2740
_cell_length_b 3.2740
_cell_length_c 10.0689
_cell_angle_alpha 80.64
_cell_angle_beta 80.64
_cell_angle_gamma 60.00
_symmetry_space_group_name_H-M 'P 1'
_symmetry_Int_Tables_number 1
_symmetry_space_group_name_Hall 'P 1'
loop_
_atom_site_label
_atom_site_fract_x
_atom_site_fract_y
_atom_site_fract_z
_atom_site_occupancy
Ru1 0.5000 0.5000 0.5000 1
Dy1 0.9030 0.9030 0.2911 1
V1 0.0000 0.0000 0.0000 1
Dy2 0.0970 0.0970 0.7089 1
```

=====

No. 8
A plane-wave DFT calculation with PBE-GGA was carried out for crystalline DyRu2W at its relaxed geometry.

## Properties
Symmetry: No. 225
DOS at the Fermi energy, states/eV/cell: 4.88
VASP energy, eV/cell: -36.0

Cell and atoms, written as CIF:
```
data_DyRu2W
_chemical_formula_sum 'Dy1 Ru2 W1'
_cell_length_a 4.5786
_cell_length_b 4.5786
_cell_length_c 4.5786
_cell_angle_alpha 60.00
_cell_angle_beta 60.00
_cell_angle_gamma 60.00
_symmetry_space_group_name_H-M 'P 1'
_symmetry_Int_Tables_number 1
_symmetry_space_group_name_Hall 'P 1'
loop_
_atom_site_label
_atom_site_fract_x
_atom_site_fract_y
_atom_site_fract_z
_atom_site_occupancy
Ru1 0.7500 0.7500 0.7500 1
Ru2 0.2500 0.2500 0.2500 1
Dy1 0.0000 0.0000 0.0000 1
W1 0.5000 0.5000 0.5000 1
```

=====

No. 9
A plane-wave DFT calculation with PBE-GGA was carried out for crystalline DyRu2W at its relaxed geometry.

## Properties
Symmetry: No. 123
DOS at the Fermi energy, states/eV/cell: 4.04
VASP energy, eV/cell: -36.0

Cell and atoms, written as CIF:
```
data_DyRu2W
_chemical_formula_sum 'Dy1 Ru2 W1'
_cell_length_a 3.1142
_cell_length_b 4.6698
_cell_length_c 4.6698
_cell_angle_alpha 90.00
_cell_angle_beta 90.00
_cell_angle_gamma 90.00
_symmetry_space_group_name_H-M 'P 1'
_symmetry_Int_Tables_number 1
_symmetry_space_group_name_Hall 'P 1'
loop_
_atom_site_label
_atom_site_fract_x
_atom_site_fract_y
_atom_site_fract_z
_atom_site_occupancy
Ru1 0.0000 0.0000 0.5000 1
Dy1 0.5000 0.5000 0.5000 1
Ru2 0.0000 0.5000 0.0000 1
W1 0.5000 0.0000 0.0000 1
```

=====

No. 10
A plane-wave DFT calculation with PBE-GGA was carried out for crystalline DyRu2W at its relaxed geometry.

## Properties
Symmetry: No. 123
DOS at the Fermi energy, states/eV/cell: 4.80
VASP energy, eV/cell: -36.5

Cell and atoms, written as CIF:
```
data_DyRu2W
_chemical_formula_sum 'Dy1 Ru2 W1'
_cell_length_a 3.1207
_cell_length_b 3.1207
_cell_length_c 7.1886
_cell_angle_alpha 90.00
_cell_angle_beta 90.00
_cell_angle_gamma 90.00
_symmetry_space_group_name_H-M 'P 1'
_symmetry_Int_Tables_number 1
_symmetry_space_group_name_Hall 'P 1'
loop_
_atom_site_label
_atom_site_fract_x
_atom_site_fract_y
_atom_site_fract_z
_atom_site_occupancy
Ru1 0.0000 0.0000 0.7918 1
W1 0.5000 0.5000 0.0000 1
Ru2 0.0000 0.0000 0.2082 1
Dy1 0.5000 0.5000 0.5000 1
```

=====

No. 11
A plane-wave DFT calculation with PBE-GGA was carried out for crystalline Dy5Y2Ru5 at its relaxed geometry.

## Properties
Symmetry: No. 12
DOS at the Fermi energy, states/eV/cell: 8.98
VASP energy, eV/cell: -84.8

Cell and atoms, written as CIF:
```
data_Dy5Y2Ru5
_chemical_formula_sum 'Dy5 Y2 Ru5'
_cell_length_a 4.8184
_cell_length_b 4.8184
_cell_length_c 13.6658
_cell_angle_alpha 79.91
_cell_angle_beta 79.91
_cell_angle_gamma 59.96
_symmetry_space_group_name_H-M 'P 1'
_symmetry_Int_Tables_number 1
_symmetry_space_group_name_Hall 'P 1'
loop_
_atom_site_label
_atom_site_fract_x
_atom_site_fract_y
_atom_site_fract_z
_atom_site_occupancy
Dy1 0.2146 0.2146 0.3560 1
Dy2 0.3095 0.3095 0.0714 1
Ru1 0.0000 0.0000 0.0000 1
Dy3 0.5000 0.5000 0.5000 1
Y1 0.0718 0.0718 0.7841 1
Ru2 0.1454 0.1454 0.5645 1
Dy4 0.6905 0.6905 0.9286 1
Y2 0.9282 0.9282 0.2159 1
Ru3 0.8546 0.8546 0.4355 1
Ru4 0.6169 0.6169 0.1495 1
Ru5 0.3831 0.3831 0.8505 1
Dy5 0.7854 0.7854 0.6440 1
```